La15Pm4Sc: optimized geometry, PBE. Values from VASP.

Geometry as Quantum ESPRESSO input:
```
&SYSTEM
  ibrav = 0, nat = 20, ntyp = 3
/
ATOMIC_SPECIES
La 138.91 La.upf
Pm 145.00 Pm.upf
Sc 44.96 Sc.upf
ATOMIC_POSITIONS crystal
La 0.000 0.000 0.000
La 0.000 0.000 0.198
La 0.000 0.000 0.399
La 0.000 0.000 0.601
La 0.000 0.000 0.802
La 0.000 0.500 0.097
La 0.000 0.500 0.298
La 0.000 0.500 0.500
La 0.000 0.500 0.702
La 0.000 0.500 0.903
La 0.500 0.000 0.097
La 0.500 0.000 0.298
La 0.500 0.000 0.500
La 0.500 0.000 0.702
La 0.500 0.000 0.903
Pm 0.500 0.500 0.197
Pm 0.500 0.500 0.399
Pm 0.500 0.500 0.601
Pm 0.500 0.500 0.803
Sc 0.500 0.500 0.000
CELL_PARAMETERS angstrom
5.208 0.000 0.000
0.000 5.208 0.000
0.000 0.000 26.165
```

V in Å³/f.u.: 709.6
Total DFT energy (no corrections) in eV/cell: -98.929
Formation enthalpy at 0 K in meV/atom: 16
Space-group type: No. 123